# PBE HfZrBr2, relaxed
data_HfZrBr2
_space_group_name_H-M_alt 'C 1 m 1'
_space_group_IT_number 8
_space_group_name_Hall 'C -2y'
_cell_length_a 6.080
_cell_length_b 3.511
_cell_length_c 10.168
_cell_angle_alpha 90.00
_cell_angle_beta 100.53
_cell_angle_gamma 90.00
loop_
_atom_site_label
_atom_site_fract_x
_atom_site_fract_y
_atom_site_fract_z
Hf1 0.000 0.000 0.000
Zr1 0.404 0.000 0.230
Br1 0.109 0.500 0.810
Br2 0.295 0.500 0.420
# * polymorph energy (0 for the lowest one): 0.000 eV/atom
# * total energy: -6.4301 eV per atom